Record 1
## AlGaRuPt (GGA-PBE)

Data for crystalline AlGaRuPt at its relaxed geometry.

SG	Pmmm, No. 47
crystal system	orthorhombic
energy of formation	-2.853	eV/f.u.

CIF file:
```
data_AlGaRuPt
_cell_length_a 3.1786
_cell_length_b 4.1999
_cell_length_c 4.2451
_cell_angle_alpha 90.00
_cell_angle_beta 90.00
_cell_angle_gamma 90.00
_space_group_name_H-M_alt 'P 1'
_space_group_IT_number 1
loop_
_space_group_symop_operation_xyz
'x,y,z'
loop_
_atom_site_label
_atom_site_type_symbol
_atom_site_fract_x
_atom_site_fract_y
_atom_site_fract_z
Al1 Al 0.0000 0.0000 0.0000
Ga1 Ga 0.0000 0.5000 0.5000
Ru1 Ru 0.5000 0.0000 0.5000
Pt1 Pt 0.5000 0.5000 0.0000
```

=====

Record 2
## Mg3CuSn2S8 (GGA-PBE)

Data for crystalline Mg3CuSn2S8 at its relaxed geometry.

energy relative to the elements, uncorrected	-0.7515	eV per atom
SG	Imm2, No. 44
crystal system	orthorhombic

CIF file:
```
data_Mg3CuSn2S8
_cell_length_a 7.4768
_cell_length_b 7.4768
_cell_length_c 7.4768
_cell_angle_alpha 120.59
_cell_angle_beta 118.81
_cell_angle_gamma 90.53
_space_group_name_H-M_alt 'P 1'
_space_group_IT_number 1
loop_
_space_group_symop_operation_xyz
'x,y,z'
loop_
_atom_site_label
_atom_site_type_symbol
_atom_site_fract_x
_atom_site_fract_y
_atom_site_fract_z
Mg1 Mg 0.0000 0.0000 0.0000
Mg2 Mg 0.3940 0.1452 0.7512
Mg3 Mg 0.3940 0.6428 0.2488
Cu1 Cu 0.7840 0.2840 0.5000
Sn1 Sn 0.3931 0.6430 0.7501
Sn2 Sn 0.8929 0.6430 0.2499
S1 S 0.1494 0.4086 0.2592
S2 S 0.1494 0.8902 0.7408
S3 S 0.1539 0.8827 0.2712
S4 S 0.1596 0.4005 0.7591
S5 S 0.6115 0.8827 0.7288
S6 S 0.6414 0.4005 0.2409
S7 S 0.6431 0.3948 0.7517
S8 S 0.6431 0.8914 0.2483
```

=====

Record 3
## CsTaS3 (GGA-PBE)

Data for crystalline CsTaS3 at its relaxed geometry.

energy relative to the elements, uncorrected	-0.9566	eV per atom
SG	Pm-3m, No. 221
crystal system	cubic

CIF file:
```
data_CsTaS3
_cell_length_a 4.9234
_cell_length_b 4.9234
_cell_length_c 4.9234
_cell_angle_alpha 90.00
_cell_angle_beta 90.00
_cell_angle_gamma 90.00
_space_group_name_H-M_alt 'P 1'
_space_group_IT_number 1
loop_
_space_group_symop_operation_xyz
'x,y,z'
loop_
_atom_site_label
_atom_site_type_symbol
_atom_site_fract_x
_atom_site_fract_y
_atom_site_fract_z
Cs1 Cs 0.0000 0.0000 0.0000
Ta1 Ta 0.5000 0.5000 0.5000
S1 S 0.0000 0.5000 0.5000
S2 S 0.5000 0.0000 0.5000
S3 S 0.5000 0.5000 0.0000
```

=====

Record 4
## KLiAl (GGA-PBE)

Data for crystalline KLiAl at its relaxed geometry.

SG	Cm, No. 8
crystal system	monoclinic
energy of formation	0.088	eV/f.u.

CIF file:
```
data_KLiAl
_cell_length_a 7.8415
_cell_length_b 4.5240
_cell_length_c 12.1683
_cell_angle_alpha 90.00
_cell_angle_beta 102.47
_cell_angle_gamma 90.00
_space_group_name_H-M_alt 'P 1'
_space_group_IT_number 1
loop_
_space_group_symop_operation_xyz
'x,y,z'
loop_
_atom_site_label
_atom_site_type_symbol
_atom_site_fract_x
_atom_site_fract_y
_atom_site_fract_z
K1 K 0.0000 0.0000 0.0000
K2 K 0.2247 0.0000 0.6592
K3 K 0.5000 0.5000 0.0000
K4 K 0.7247 0.5000 0.6592
Li1 Li 0.1025 0.0000 0.3036
Li2 Li 0.3113 0.5000 0.4269
Li3 Li 0.6025 0.5000 0.3036
Li4 Li 0.8113 0.0000 0.4269
Al1 Al 0.2352 0.5000 0.2043
Al2 Al 0.4200 0.0000 0.2559
Al3 Al 0.7352 0.0000 0.2043
Al4 Al 0.9200 0.5000 0.2559
```

=====

Record 5
## Dy12Tl6Ni (GGA-PBE)

Data for crystalline Dy12Tl6Ni at its relaxed geometry.

SG	R-3, No. 148
crystal system	trigonal
energy of formation	-3.039	eV/f.u.

CIF file:
```
data_Dy12Tl6Ni
_cell_length_a 8.2948
_cell_length_b 8.2948
_cell_length_c 8.2948
_cell_angle_alpha 93.85
_cell_angle_beta 93.85
_cell_angle_gamma 93.85
_space_group_name_H-M_alt 'P 1'
_space_group_IT_number 1
loop_
_space_group_symop_operation_xyz
'x,y,z'
loop_
_atom_site_label
_atom_site_type_symbol
_atom_site_fract_x
_atom_site_fract_y
_atom_site_fract_z
Dy1 Dy 0.0277 0.9110 0.6900
Dy2 Dy 0.0890 0.3100 0.9723
Dy3 Dy 0.2034 0.4256 0.5419
Dy4 Dy 0.3100 0.9723 0.0890
Dy5 Dy 0.4256 0.5419 0.2034
Dy6 Dy 0.4581 0.7966 0.5744
Dy7 Dy 0.5419 0.2034 0.4256
Dy8 Dy 0.5744 0.4581 0.7966
Dy9 Dy 0.6900 0.0277 0.9110
Dy10 Dy 0.7966 0.5744 0.4581
Dy11 Dy 0.9110 0.6900 0.0277
Dy12 Dy 0.9723 0.0890 0.3100
Tl1 Tl 0.1375 0.7365 0.3500
Tl2 Tl 0.2635 0.6500 0.8625
Tl3 Tl 0.3500 0.1375 0.7365
Tl4 Tl 0.6500 0.8625 0.2635
Tl5 Tl 0.7365 0.3500 0.1375
Tl6 Tl 0.8625 0.2635 0.6500
Ni1 Ni 0.0000 0.0000 0.0000
```

=====

Record 6
## LaSbIrRh2 (GGA-PBE)

Data for crystalline LaSbIrRh2 at its relaxed geometry.

energy relative to the elements, uncorrected	0.1015	eV per atom
SG	P4/mmm, No. 123
crystal system	tetragonal

CIF file:
```
data_LaSbIrRh2
_cell_length_a 4.8476
_cell_length_b 4.8476
_cell_length_c 4.9448
_cell_angle_alpha 90.00
_cell_angle_beta 90.00
_cell_angle_gamma 90.00
_space_group_name_H-M_alt 'P 1'
_space_group_IT_number 1
loop_
_space_group_symop_operation_xyz
'x,y,z'
loop_
_atom_site_label
_atom_site_type_symbol
_atom_site_fract_x
_atom_site_fract_y
_atom_site_fract_z
La1 La 0.0000 0.0000 0.0000
Sb1 Sb 0.5000 0.5000 0.5000
Ir1 Ir 0.5000 0.5000 0.0000
Rh1 Rh 0.0000 0.5000 0.5000
Rh2 Rh 0.5000 0.0000 0.5000
```

=====

Record 7
## Ca3PbSe4 (GGA-PBE)

Data for crystalline Ca3PbSe4 at its relaxed geometry.

energy relative to the elements, uncorrected	-1.6512	eV per atom
SG	Pmmm, No. 47
crystal system	orthorhombic

CIF file:
```
data_Ca3PbSe4
_cell_length_a 4.2603
_cell_length_b 6.0341
_cell_length_c 8.5556
_cell_angle_alpha 90.00
_cell_angle_beta 90.00
_cell_angle_gamma 90.00
_space_group_name_H-M_alt 'P 1'
_space_group_IT_number 1
loop_
_space_group_symop_operation_xyz
'x,y,z'
loop_
_atom_site_label
_atom_site_type_symbol
_atom_site_fract_x
_atom_site_fract_y
_atom_site_fract_z
Ca1 Ca 0.0000 0.0000 0.0000
Ca2 Ca 0.5000 0.5000 0.2476
Ca3 Ca 0.5000 0.5000 0.7524
Pb1 Pb 0.0000 0.0000 0.5000
Se1 Se 0.0000 0.5000 0.0000
Se2 Se 0.0000 0.5000 0.5000
Se3 Se 0.5000 0.0000 0.2395
Se4 Se 0.5000 0.0000 0.7605
```

=====

Record 8
## Cr2TcNi (GGA-PBE)

Data for crystalline Cr2TcNi at its relaxed geometry.

SG	P4mm, No. 99
crystal system	tetragonal
energy of formation	0.553	eV/f.u.

CIF file:
```
data_Cr2TcNi
_cell_length_a 2.9914
_cell_length_b 2.9914
_cell_length_c 5.5050
_cell_angle_alpha 90.00
_cell_angle_beta 90.00
_cell_angle_gamma 90.00
_space_group_name_H-M_alt 'P 1'
_space_group_IT_number 1
loop_
_space_group_symop_operation_xyz
'x,y,z'
loop_
_atom_site_label
_atom_site_type_symbol
_atom_site_fract_x
_atom_site_fract_y
_atom_site_fract_z
Cr1 Cr 0.0000 0.0000 0.0000
Cr2 Cr 0.5000 0.5000 0.2460
Tc1 Tc 0.5000 0.5000 0.7495
Ni1 Ni 0.0000 0.0000 0.4697
```

=====

Record 9
## Pr3Er (GGA-PBE)

Data for crystalline Pr3Er at its relaxed geometry.

SG	P6_3/mmc, No. 194
crystal system	hexagonal
energy of formation	0.112	eV/f.u.

CIF file:
```
data_Pr3Er
_cell_length_a 7.4165
_cell_length_b 7.4165
_cell_length_c 5.9052
_cell_angle_alpha 90.00
_cell_angle_beta 90.00
_cell_angle_gamma 120.00
_space_group_name_H-M_alt 'P 1'
_space_group_IT_number 1
loop_
_space_group_symop_operation_xyz
'x,y,z'
loop_
_atom_site_label
_atom_site_type_symbol
_atom_site_fract_x
_atom_site_fract_y
_atom_site_fract_z
Pr1 Pr 0.1680 0.3360 0.2500
Pr2 Pr 0.1680 0.8320 0.2500
Pr3 Pr 0.3360 0.1680 0.7500
Pr4 Pr 0.6640 0.8320 0.2500
Pr5 Pr 0.8320 0.1680 0.7500
Pr6 Pr 0.8320 0.6640 0.7500
Er1 Er 0.3333 0.6667 0.7500
Er2 Er 0.6667 0.3333 0.2500
```

=====

Record 10
## Dy2ZnAs (GGA-PBE)

Data for crystalline Dy2ZnAs at its relaxed geometry.

SG	R-3m, No. 166
crystal system	trigonal
energy of formation	-1.405	eV/f.u.

CIF file:
```
data_Dy2ZnAs
_cell_length_a 3.8795
_cell_length_b 3.8795
_cell_length_c 28.3774
_cell_angle_alpha 90.00
_cell_angle_beta 90.00
_cell_angle_gamma 120.00
_space_group_name_H-M_alt 'P 1'
_space_group_IT_number 1
loop_
_space_group_symop_operation_xyz
'x,y,z'
loop_
_atom_site_label
_atom_site_type_symbol
_atom_site_fract_x
_atom_site_fract_y
_atom_site_fract_z
Dy1 Dy 0.0000 0.0000 0.1073
Dy2 Dy 0.0000 0.0000 0.8927
Dy3 Dy 0.3333 0.6667 0.5594
Dy4 Dy 0.3333 0.6667 0.7739
Dy5 Dy 0.6667 0.3333 0.2261
Dy6 Dy 0.6667 0.3333 0.4406
Zn1 Zn 0.0000 0.0000 0.0000
Zn2 Zn 0.3333 0.6667 0.6667
Zn3 Zn 0.6667 0.3333 0.3333
As1 As 0.0000 0.0000 0.5000
As2 As 0.3333 0.6667 0.1667
As3 As 0.6667 0.3333 0.8333
```